(1)
First-principles (GGA-PBE) data for a relaxed UBePt2 crystal, as listed in Alexandria.

abc: 5.413 5.413 5.413
angles: 44.06 44.06 44.06
Fractional positions:
U1 0.000 0.000 0.000
Be1 0.500 0.500 0.500
Pt1 0.220 0.220 0.220
Pt2 0.780 0.780 0.780

## Properties
E_tot: -7.4042 eV per atom
E_form: -0.630 eV/atom
distance to the lowest polymorph of the same formula: 0.0 meV per atom
space-group type: No. 166
M_tot: 1.88 μB/cell


(2)
First-principles (GGA-PBE) data for a relaxed U3Be6Pt20 crystal, as listed in Alexandria.

abc: 8.524 8.524 8.524
angles: 60.00 60.00 60.00
Fractional positions:
U1 0.000 0.000 0.000
U2 0.250 0.250 0.250
U3 0.750 0.750 0.750
Be1 0.274 0.274 0.726
Be2 0.274 0.726 0.274
Be3 0.274 0.726 0.726
Be4 0.726 0.274 0.274
Be5 0.726 0.274 0.726
Be6 0.726 0.726 0.274
Pt1 0.000 0.000 0.338
Pt2 0.000 0.000 0.662
Pt3 0.000 0.338 0.000
Pt4 0.000 0.338 0.662
Pt5 0.000 0.662 0.000
Pt6 0.000 0.662 0.338
Pt7 0.148 0.617 0.617
Pt8 0.338 0.000 0.000
Pt9 0.338 0.000 0.662
Pt10 0.338 0.662 0.000
Pt11 0.383 0.383 0.383
Pt12 0.383 0.383 0.852
Pt13 0.383 0.852 0.383
Pt14 0.617 0.148 0.617
Pt15 0.617 0.617 0.148
Pt16 0.617 0.617 0.617
Pt17 0.662 0.000 0.000
Pt18 0.662 0.000 0.338
Pt19 0.662 0.338 0.000
Pt20 0.852 0.383 0.383

## Properties
E_tot: -6.7386 eV per atom
E_form: -0.634 eV/atom
space-group type: No. 225
M_tot: 4.92 μB/cell


(3)
First-principles (GGA-PBE) data for a relaxed U2BePt3 crystal, as listed in Alexandria.

abc: 5.045 5.045 5.045
angles: 66.84 66.84 66.84
Fractional positions:
U1 0.115 0.115 0.115
U2 0.885 0.885 0.885
Be1 0.500 0.500 0.500
Pt1 0.000 0.500 0.500
Pt2 0.500 0.000 0.500
Pt3 0.500 0.500 0.000

## Properties
E_tot: -8.0402 eV per atom
E_form: -0.636 eV/atom
space-group type: No. 166
M_tot: 4.31 μB/cell


(4)
First-principles (GGA-PBE) data for a relaxed BeV2Pt2 crystal, as listed in Alexandria.

abc: 7.396 7.396 2.728
angles: 90.00 90.00 90.00
Fractional positions:
Be1 0.000 0.000 0.000
Be2 0.500 0.500 0.000
V1 0.168 0.332 0.500
V2 0.332 0.832 0.500
V3 0.668 0.168 0.500
V4 0.832 0.668 0.500
Pt1 0.131 0.631 0.000
Pt2 0.369 0.131 0.000
Pt3 0.631 0.869 0.000
Pt4 0.869 0.369 0.000

## Properties
E_tot: -6.9396 eV per atom
E_form: -0.131 eV/atom
space-group type: No. 127
M_tot: 0.00 μB/cell


(5)
First-principles (GGA-PBE) data for a relaxed Be5VPt4 crystal, as listed in Alexandria.

abc: 2.809 2.809 14.503
angles: 90.00 90.00 90.00
Fractional positions:
Be1 0.000 0.000 0.000
Be2 0.000 0.000 0.201
Be3 0.000 0.000 0.395
Be4 0.000 0.000 0.605
Be5 0.000 0.000 0.799
V1 0.500 0.500 0.500
Pt1 0.500 0.500 0.100
Pt2 0.500 0.500 0.299
Pt3 0.500 0.500 0.701
Pt4 0.500 0.500 0.900

## Properties
E_tot: -5.8022 eV per atom
E_form: -0.611 eV/atom
space-group type: No. 123
M_tot: 0.00 μB/cell


(6)
First-principles (GGA-PBE) data for a relaxed BeV2Pt crystal, as listed in Alexandria.

abc: 9.557 9.557 9.557
angles: 159.50 159.50 29.15
Fractional positions:
Be1 0.000 0.000 0.000
Be2 0.750 0.250 0.500
V1 0.110 0.625 0.985
V2 0.375 0.360 0.485
V3 0.640 0.125 0.015
V4 0.875 0.890 0.515
Pt1 0.250 0.750 0.500
Pt2 0.500 0.500 0.000

## Properties
E_tot: -6.8868 eV per atom
E_form: 0.114 eV/atom
space-group type: No. 122
M_tot: 0.00 μB/cell


(7)
First-principles (GGA-PBE) data for a relaxed Be4VPt crystal, as listed in Alexandria.

abc: 4.399 4.399 4.399
angles: 60.00 60.00 60.00
Fractional positions:
Be1 0.376 0.376 0.376
Be2 0.376 0.376 0.873
Be3 0.376 0.873 0.376
Be4 0.873 0.376 0.376
V1 0.750 0.750 0.750
Pt1 0.000 0.000 0.000

## Properties
E_tot: -5.3908 eV per atom
E_form: -0.380 eV/atom
space-group type: No. 216
M_tot: 2.59 μB/cell


(8)
First-principles (GGA-PBE) data for a relaxed BeVPt2 crystal, as listed in Alexandria.

abc: 2.756 2.756 6.810
angles: 90.00 90.00 90.00
Fractional positions:
Be1 0.000 0.000 0.000
V1 0.000 0.000 0.500
Pt1 0.500 0.500 0.219
Pt2 0.500 0.500 0.781

## Properties
E_tot: -6.9075 eV per atom
E_form: -0.676 eV/atom
space-group type: No. 123
M_tot: 0.31 μB/cell


(9)
First-principles (GGA-PBE) data for a relaxed BeVPt2 crystal, as listed in Alexandria.

abc: 8.526 8.526 8.526
angles: 153.90 153.90 37.25
Fractional positions:
Be1 0.000 0.000 0.000
Be2 0.750 0.250 0.500
V1 0.250 0.750 0.500
V2 0.500 0.500 0.000
Pt1 0.113 0.625 0.988
Pt2 0.375 0.363 0.488
Pt3 0.637 0.125 0.012
Pt4 0.875 0.887 0.512

## Properties
E_tot: -6.2920 eV per atom
E_form: -0.060 eV/atom
space-group type: No. 122
M_tot: 0.00 μB/cell


(10)
First-principles (GGA-PBE) data for a relaxed YBeVPt2 crystal, as listed in Alexandria.

abc: 5.045 5.045 4.673
angles: 90.00 90.00 90.00
Fractional positions:
Y1 0.000 0.000 0.000
Be1 0.000 0.000 0.500
V1 0.500 0.500 0.500
Pt1 0.000 0.500 0.000
Pt2 0.500 0.000 0.000

## Properties
E_tot: -4.7700 eV per atom
E_form: 1.508 eV/atom
space-group type: No. 123
M_tot: 0.10 μB/cell


(11)
First-principles (GGA-PBE) data for a relaxed BeV2ZnPt crystal, as listed in Alexandria.

abc: 4.774 4.774 4.726
angles: 90.00 90.00 90.00
Fractional positions:
Be1 0.000 0.000 0.000
V1 0.000 0.500 0.500
V2 0.500 0.000 0.500
Zn1 0.500 0.500 0.000
Pt1 0.500 0.500 0.500

## Properties
E_tot: -4.7576 eV per atom
E_form: 1.098 eV/atom
space-group type: No. 123
M_tot: 5.13 μB/cell


(12)
First-principles (GGA-PBE) data for a relaxed BePtW2 crystal, as listed in Alexandria.

abc: 4.913 4.913 2.690
angles: 90.19 90.19 116.10
Fractional positions:
Be1 0.000 0.000 0.000
Pt1 0.500 0.500 0.000
W1 0.000 0.500 0.500
W2 0.500 0.000 0.500

## Properties
E_tot: -8.8302 eV per atom
E_form: 0.088 eV/atom
space-group type: No. 12
M_tot: 0.00 μB/cell


(13)
First-principles (GGA-PBE) data for a relaxed BePtW2 crystal, as listed in Alexandria.

abc: 9.714 9.714 9.714
angles: 158.29 158.29 30.89
Fractional positions:
Be1 0.000 0.000 0.000
Be2 0.750 0.250 0.500
Pt1 0.250 0.750 0.500
Pt2 0.500 0.500 0.000
W1 0.110 0.625 0.985
W2 0.375 0.360 0.485
W3 0.640 0.125 0.015
W4 0.875 0.890 0.515

## Properties
E_tot: -8.4191 eV per atom
E_form: 0.499 eV/atom
space-group type: No. 122
M_tot: 0.00 μB/cell


(14)
First-principles (GGA-PBE) data for a relaxed BePtW3 crystal, as listed in Alexandria.

abc: 4.771 4.771 4.771
angles: 90.00 90.00 90.00
Fractional positions:
Be1 0.000 0.000 0.000
Pt1 0.500 0.500 0.500
W1 0.000 0.500 0.500
W2 0.500 0.000 0.500
W3 0.500 0.500 0.000

## Properties
E_tot: -7.2797 eV per atom
E_form: 2.446 eV/atom
distance to the lowest polymorph of the same formula: 1854.0 meV per atom
space-group type: No. 221
M_tot: 0.00 μB/cell


(15)
First-principles (GGA-PBE) data for a relaxed Be3PtW crystal, as listed in Alexandria.

abc: 4.195 4.195 4.195
angles: 90.00 90.00 90.00
Fractional positions:
Be1 0.000 0.000 0.500
Be2 0.000 0.500 0.000
Be3 0.500 0.000 0.000
Pt1 0.500 0.500 0.500
W1 0.000 0.000 0.000

## Properties
E_tot: -4.5834 eV per atom
E_form: 1.451 eV/atom
distance to the lowest polymorph of the same formula: 684.7 meV per atom
space-group type: No. 221
M_tot: 0.00 μB/cell


(16)
First-principles (GGA-PBE) data for a relaxed BePtW2 crystal, as listed in Alexandria.

abc: 4.647 4.647 4.942
angles: 95.71 95.71 33.64
Fractional positions:
Be1 0.000 0.000 0.000
Pt1 0.249 0.249 0.765
W1 0.506 0.506 0.485
W2 0.749 0.749 0.235

## Properties
E_tot: -8.8423 eV per atom
E_form: 0.076 eV/atom
space-group type: No. 8
M_tot: 0.00 μB/cell


(17)
First-principles (GGA-PBE) data for a relaxed BePtW3 crystal, as listed in Alexandria.

abc: 4.209 4.209 4.209
angles: 90.00 90.00 90.00
Fractional positions:
Be1 0.000 0.000 0.000
Pt1 0.500 0.500 0.500
W1 0.000 0.000 0.500
W2 0.000 0.500 0.000
W3 0.500 0.000 0.000

## Properties
E_tot: -9.1337 eV per atom
E_form: 0.592 eV/atom
distance to the lowest polymorph of the same formula: 0.0 meV per atom
space-group type: No. 221
M_tot: 0.00 μB/cell


(18)
First-principles (GGA-PBE) data for a relaxed BePtW2 crystal, as listed in Alexandria.

abc: 3.183 3.183 5.740
angles: 90.00 90.00 90.00
Fractional positions:
Be1 0.000 0.000 0.000
Pt1 0.500 0.500 0.218
W1 0.000 0.000 0.520
W2 0.500 0.500 0.759

## Properties
E_tot: -8.9475 eV per atom
E_form: -0.029 eV/atom
space-group type: No. 99
M_tot: 0.00 μB/cell


(19)
First-principles (GGA-PBE) data for a relaxed Be4Pt5W crystal, as listed in Alexandria.

abc: 2.827 2.827 15.477
angles: 90.00 90.00 90.00
Fractional positions:
Be1 0.000 0.000 0.093
Be2 0.000 0.000 0.278
Be3 0.000 0.000 0.722
Be4 0.000 0.000 0.907
Pt1 0.500 0.500 0.000
Pt2 0.500 0.500 0.184
Pt3 0.500 0.500 0.370
Pt4 0.500 0.500 0.630
Pt5 0.500 0.500 0.816
W1 0.000 0.000 0.500

## Properties
E_tot: -6.4480 eV per atom
E_form: -0.642 eV/atom
space-group type: No. 123
M_tot: 0.00 μB/cell


(20)
First-principles (GGA-PBE) data for a relaxed BePtW4 crystal, as listed in Alexandria.

abc: 5.216 5.216 5.216
angles: 60.00 60.00 60.00
Fractional positions:
Be1 0.000 0.000 0.000
Pt1 0.250 0.250 0.250
W1 0.121 0.626 0.626
W2 0.626 0.121 0.626
W3 0.626 0.626 0.121
W4 0.626 0.626 0.626

## Properties
E_tot: -9.5698 eV per atom
E_form: 0.693 eV/atom
space-group type: No. 216
M_tot: 0.00 μB/cell


(21)
First-principles (GGA-PBE) data for a relaxed BePt3W crystal, as listed in Alexandria.

abc: 4.843 4.843 4.843
angles: 90.00 90.00 90.00
Fractional positions:
Be1 0.000 0.000 0.000
Pt1 0.000 0.500 0.500
Pt2 0.500 0.000 0.500
Pt3 0.500 0.500 0.000
W1 0.500 0.500 0.500

## Properties
E_tot: -5.4676 eV per atom
E_form: 1.493 eV/atom
distance to the lowest polymorph of the same formula: 1145.2 meV per atom
space-group type: No. 221
M_tot: 0.00 μB/cell


(22)
First-principles (GGA-PBE) data for a relaxed BePtW2 crystal, as listed in Alexandria.

abc: 2.745 2.745 7.409
angles: 90.00 90.00 90.00
Fractional positions:
Be1 0.000 0.000 0.000
Pt1 0.500 0.500 0.191
W1 0.000 0.000 0.467
W2 0.500 0.500 0.772

## Properties
E_tot: -9.0550 eV per atom
E_form: -0.137 eV/atom
space-group type: No. 99
M_tot: 0.00 μB/cell


(23)
First-principles (GGA-PBE) data for a relaxed BePtW2 crystal, as listed in Alexandria.

abc: 2.734 4.055 5.316
angles: 90.00 101.25 90.00
Fractional positions:
Be1 0.000 0.000 0.000
Pt1 0.093 0.500 0.243
W1 0.425 0.500 0.789
W2 0.672 0.000 0.514

## Properties
E_tot: -9.0221 eV per atom
E_form: -0.104 eV/atom
space-group type: No. 6
M_tot: 0.00 μB/cell


(24)
First-principles (GGA-PBE) data for a relaxed BePtW2 crystal, as listed in Alexandria.

abc: 3.424 3.949 4.282
angles: 90.00 90.00 90.00
Fractional positions:
Be1 0.000 0.000 0.000
Pt1 0.500 0.500 0.000
W1 0.000 0.500 0.500
W2 0.500 0.000 0.500

## Properties
E_tot: -8.8930 eV per atom
E_form: 0.025 eV/atom
space-group type: No. 47
M_tot: 0.00 μB/cell


(25)
First-principles (GGA-PBE) data for a relaxed BePtW2 crystal, as listed in Alexandria.

abc: 8.958 8.958 8.958
angles: 17.79 17.79 17.79
Fractional positions:
Be1 0.000 0.000 0.000
Pt1 0.500 0.500 0.500
W1 0.255 0.255 0.255
W2 0.745 0.745 0.745

## Properties
E_tot: -8.7177 eV per atom
E_form: 0.201 eV/atom
space-group type: No. 166
M_tot: 0.00 μB/cell


(26)
First-principles (GGA-PBE) data for a relaxed BePtW2 crystal, as listed in Alexandria.

abc: 2.740 2.740 7.422
angles: 90.00 90.00 90.00
Fractional positions:
Be1 0.000 0.000 0.000
Pt1 0.000 0.000 0.500
W1 0.500 0.500 0.219
W2 0.500 0.500 0.781

## Properties
E_tot: -8.9691 eV per atom
E_form: -0.051 eV/atom
space-group type: No. 123
M_tot: 0.00 μB/cell


(27)
First-principles (GGA-PBE) data for a relaxed BePtW2 crystal, as listed in Alexandria.

abc: 4.992 4.992 4.992
angles: 141.14 132.04 63.36
Fractional positions:
Be1 0.000 0.000 0.000
Pt1 0.500 0.500 0.000
W1 0.243 0.743 0.500
W2 0.757 0.257 0.500

## Properties
E_tot: -8.9765 eV per atom
E_form: -0.058 eV/atom
space-group type: No. 71
M_tot: 0.00 μB/cell


Number 1: mass density 15.2 g cm⁻³. Number 2: mass density 17.7 g cm⁻³. Number 3: mass density 17.1 g cm⁻³. Number 4: mass density 11.2 g cm⁻³. Number 5: mass density 12.7 g cm⁻³. Number 6: mass density 9.5 g cm⁻³. Number 7: mass density 7.8 g cm⁻³. Number 8: mass density 14.5 g cm⁻³. Number 9: mass density 12.5 g cm⁻³. Number 10: mass density 7.5 g cm⁻³. Number 11: mass density 5.7 g cm⁻³. Number 12: mass density 16.3 g cm⁻³. Number 13: mass density 15.2 g cm⁻³. Number 14: mass density 11.6 g cm⁻³. Number 15: mass density 9.1 g cm⁻³. Number 16: mass density 16.1 g cm⁻³. Number 17: mass density 16.8 g cm⁻³. Number 18: mass density 16.3 g cm⁻³. Number 19: mass density 16.1 g cm⁻³. Number 20: mass density 15.5 g cm⁻³. Number 21: mass density 11.4 g cm⁻³. Number 22: mass density 17.0 g cm⁻³. Number 23: mass density 16.4 g cm⁻³. Number 24: mass density 16.4 g cm⁻³. Number 25: mass density 16.2 g cm⁻³. Number 26: mass density 17.0 g cm⁻³. Number 27: mass density 16.6 g cm⁻³.